(1)
Crystalline HfTlTe2 at its relaxed geometry, computed with PBE.

Unit cell a=4.3786 b=4.3786 c=6.0784 alpha=90.00 beta=90.00 gamma=90.00
Positions (direct):
Tl 0.5000 0.5000 0.0000
Te 0.5000 0.5000 0.5000
Te 0.0000 0.0000 0.0000
Hf 0.0000 0.0000 0.5000

Properties
For the total magnetization, the calculation gives 0.00 μB per formula unit. The total energy comes out at -4.81 eV/atom.

(2)
Crystalline Ti6SnGe at its relaxed geometry, computed with PBE.

Unit cell a=5.7182 b=5.7182 c=5.6951 alpha=108.95 beta=108.95 gamma=108.84
Positions (direct):
Ti 0.2464 0.2464 0.7276
Ti 0.7273 0.2463 0.2461
Ti 0.7536 0.7536 0.2724
Ti 0.7537 0.2727 0.7539
Ti 0.2727 0.7537 0.7539
Ti 0.2463 0.7273 0.2461
Sn 0.0000 0.0000 0.0000
Ge 0.5000 0.5000 0.5000

Properties
For the total magnetization, the calculation gives 2.49 μB per formula unit. The calculation puts the energy above the most stable polymorph in this dataset at 222.2 kJ/mol of formula units.